(1)
Tl2VRh: relaxed, GGA-PBE.

POSCAR file:
```
Tl2VRh
1.0
0.000 3.350 3.350
3.350 0.000 3.350
3.350 3.350 0.000
Tl Rh V
2 1 1
Cartesian
1.675 1.675 1.675
5.026 5.026 5.026
3.350 3.350 3.350
0.000 0.000 0.000
```

Its formation energy is 0.314 eV per atom. For the distance to the lowest polymorph of the same formula, the calculation gives 0.00 eV/f.u. As for the space-group type: No. 225.

---

(2)
Tl2RhW: relaxed, GGA-PBE.

POSCAR file:
```
Tl2RhW
1.0
-4.670 0.044 1.472
-1.437 -1.198 -4.525
0.204 -3.035 0.739
Tl Rh W
2 1 1
Cartesian
-2.335 0.022 0.736
-0.719 -0.599 -2.262
0.102 -1.518 0.369
-2.951 -2.095 -1.157
```

Its formation energy is 0.767 eV per atom. For the distance to the lowest polymorph of the same formula, the calculation gives 1.65 eV/f.u. As for the space-group type: No. 123.

---

(3)
Tl2RhW: relaxed, GGA-PBE.

POSCAR file:
```
Tl2RhW
1.0
0.909 0.557 2.848
-2.934 -0.694 -0.396
1.995 -9.085 1.141
Tl Rh W
2 1 1
Cartesian
0.475 -2.165 0.272
1.519 -6.920 0.869
-1.012 -0.068 1.226
-0.015 -4.611 1.796
```

Its formation energy is 0.742 eV per atom. For the distance to the lowest polymorph of the same formula, the calculation gives 1.55 eV/f.u. As for the space-group type: No. 65.

---

(4)
Tl2RhW: relaxed, GGA-PBE.

POSCAR file:
```
Tl2RhW
1.0
4.082 0.000 0.000
0.000 4.082 0.000
2.041 2.041 10.021
Tl Rh W
4 2 2
Cartesian
3.065 1.020 2.505
1.016 3.061 2.505
3.061 3.057 7.516
5.102 5.106 7.516
2.041 2.041 0.000
2.041 4.082 5.010
0.000 0.000 0.000
4.082 2.041 5.010
```

Its formation energy is 1.050 eV per atom. For the distance to the lowest polymorph of the same formula, the calculation gives 2.78 eV/f.u. As for the space-group type: No. 122.

---

(5)
Tl2RhW: relaxed, GGA-PBE.

POSCAR file:
```
Tl2RhW
1.0
9.245 -1.545 0.006
9.245 1.545 0.006
8.985 0.000 2.669
Tl Rh W
2 1 1
Cartesian
20.494 0.000 2.000
6.982 0.000 0.681
0.000 0.000 0.000
13.738 0.000 1.341
```

Its formation energy is 0.703 eV per atom. For the distance to the lowest polymorph of the same formula, the calculation gives 1.39 eV/f.u. As for the space-group type: No. 166.

---

(6)
Tl2RhW: relaxed, GGA-PBE.

POSCAR file:
```
Tl2RhW
1.0
-1.539 2.628 4.779
1.539 -2.628 4.779
1.539 2.628 -4.779
Tl Rh W
2 1 1
Cartesian
0.000 0.000 7.055
0.000 0.000 2.502
0.000 2.628 0.000
1.539 0.000 0.000
```

Its formation energy is 0.786 eV per atom. For the distance to the lowest polymorph of the same formula, the calculation gives 1.72 eV/f.u. As for the space-group type: No. 71.